1.
Density functional theory data (PBE) for crystalline BaBP2S at its relaxed geometry.

- Formation energy without anion corrections: 1.99 eV per atom
- Space-group type: No. 123
- E above lowest polymorph: 1867.8 meV/atom

abc: 6.3389 6.3389 5.7879
angles: 90.00 90.00 90.00
Last column: nearest neighbours and their distance in Å.
Fractional positions:
Ba: 0.0000 0.0000 0.0000  2 S 2.89, 4 P 3.17
B: 0.5000 0.5000 0.5000  8 P 4.29, 4 S 4.48
P: 0.0000 0.5000 0.0000  2 Ba 3.17
P: 0.5000 0.0000 0.0000  2 Ba 3.17
S: 0.0000 0.0000 0.5000  2 Ba 2.89

***

2.
Density functional theory data (PBE) for crystalline BaBP2S8 at its relaxed geometry.

- Formation energy without anion corrections: -0.26 eV per atom
- Space-group type: No. 12

abc: 5.7422 5.7422 8.9207
angles: 102.87 102.87 64.67
Last column: nearest neighbours and their distance in Å.
Fractional positions:
Ba: 0.0000 0.0000 0.0000  10 S 3.39-3.52, 2 P 3.75
B: 0.5000 0.5000 0.5000  6 S 2.18-2.21
P: 0.1919 0.1919 0.6860  4 S 2.02-2.09
P: 0.8081 0.8081 0.3140  4 S 2.02-2.09
S: 0.2084 0.6718 0.3093  1 P 2.09, 1 B 2.18
S: 0.2698 0.2698 0.4904  1 P 2.08, 1 B 2.21
S: 0.3281 0.3281 0.9005  1 P 2.02
S: 0.3282 0.7916 0.6907  1 P 2.09, 1 B 2.18
S: 0.6718 0.2084 0.3093  1 P 2.09, 1 B 2.18
S: 0.6719 0.6719 0.0995  1 P 2.02
S: 0.7302 0.7302 0.5096  1 P 2.08, 1 B 2.21
S: 0.7916 0.3282 0.6907  1 P 2.09, 1 B 2.18